{"formula": "InOs2Au", "functional": "PBE", "state": "optimized geometry", "delta_e_f_ev_per_atom": 0.5948, "space_group": "C2/m (12)", "lattice": [[-0.885, 0.779, 4.744], [-2.955, -0.991, 3.767], [2.369, -3.949, 2.135]], "species": ["Au", "In", "Os", "Os"], "fractional_positions": [[0.750, 0.750, 0.750], [0.250, 0.250, 0.250], [0.997, 0.997, 0.973], [0.503, 0.503, 0.527]]}

{"formula": "SrLi4Sn5", "functional": "PBE", "state": "optimized geometry", "delta_e_f_ev_per_atom": -0.3509, "space_group": "P4/mmm (123)", "lattice": [[3.569, 0.000, 0.000], [0.000, 3.569, 0.000], [0.000, 0.000, 17.904]], "species": ["Sr", "Li", "Li", "Li", "Li", "Sn", "Sn", "Sn", "Sn", "Sn"], "fractional_positions": [[0.000, 0.000, 0.000], [0.000, 0.000, 0.224], [0.000, 0.000, 0.406], [0.000, 0.000, 0.594], [0.000, 0.000, 0.776], [0.500, 0.500, 0.133], [0.500, 0.500, 0.314], [0.500, 0.500, 0.500], [0.500, 0.500, 0.686], [0.500, 0.500, 0.867]]}

{"formula": "La3Co29Si4B10", "functional": "PBE", "state": "optimized geometry", "energy_ev_per_atom": -7.117, "space_group": "P4/nmm (129)", "lattice": [[-3.356, 0.301, 7.109], [9.980, -1.737, 4.785], [1.753, 11.059, 0.359]], "species": ["La", "La", "La", "La", "La", "La", "Co", "Co", "Co", "Co", "Co", "Co", "Co", "Co", "Co", "Co", "Co", "Co", "Co", "Co", "Co", "Co", "Co", "Co", "Co", "Co", "Co", "Co", "Co", "Co", "Co", "Co", "Co", "Co", "Co", "Co", "Co", "Co", "Co", "Co", "Co", "Co", "Co", "Co", "Co", "Co", "Co", "Co", "Co", "Co", "Co", "Co", "Co", "Co", "Co", "Co", "Co", "Co", "Co", "Co", "Co", "Co", "Co", "Co", "Si", "Si", "Si", "Si", "Si", "Si", "Si", "Si", "B", "B", "B", "B", "B", "B", "B", "B", "B", "B", "B", "B", "B", "B", "B", "B", "B", "B", "B", "B"], "fractional_positions": [[0.000, 0.250, 0.750], [0.000, 0.250, 0.250], [0.000, 0.750, 0.750], [0.000, 0.750, 0.250], [0.500, 0.000, 0.000], [0.500, 0.500, 0.500], [0.337, 0.825, 0.838], [0.337, 0.175, 0.162], [0.337, 0.662, 0.325], [0.337, 0.338, 0.675], [0.663, 0.838, 0.825], [0.663, 0.325, 0.662], [0.663, 0.675, 0.338], [0.663, 0.162, 0.175], [0.663, 0.675, 0.662], [0.663, 0.325, 0.338], [0.663, 0.838, 0.175], [0.663, 0.162, 0.825], [0.337, 0.662, 0.675], [0.337, 0.175, 0.838], [0.337, 0.825, 0.162], [0.337, 0.338, 0.325], [0.302, 0.609, 0.109], [0.302, 0.391, 0.891], [0.302, 0.391, 0.109], [0.302, 0.609, 0.891], [0.698, 0.109, 0.609], [0.698, 0.109, 0.391], [0.698, 0.891, 0.609], [0.698, 0.891, 0.391], [0.747, 0.614, 0.114], [0.747, 0.386, 0.886], [0.747, 0.386, 0.114], [0.747, 0.614, 0.886], [0.253, 0.114, 0.614], [0.253, 0.114, 0.386], [0.253, 0.886, 0.614], [0.253, 0.886, 0.386], [0.028, 0.500, 0.164], [0.028, 0.500, 0.836], [0.028, 0.336, 0.000], [0.028, 0.664, 0.000], [0.972, 0.164, 0.500], [0.972, 0.000, 0.336], [0.972, 0.000, 0.664], [0.972, 0.836, 0.500], [0.525, 0.500, 0.225], [0.525, 0.500, 0.775], [0.525, 0.275, 0.000], [0.525, 0.725, 0.000], [0.475, 0.225, 0.500], [0.475, 0.000, 0.275], [0.475, 0.000, 0.725], [0.475, 0.775, 0.500], [0.111, 0.500, 0.610], [0.111, 0.500, 0.390], [0.111, 0.890, 0.000], [0.111, 0.110, 0.000], [0.889, 0.610, 0.500], [0.889, 0.000, 0.890], [0.889, 0.000, 0.110], [0.889, 0.390, 0.500], [0.532, 0.500, 0.000], [0.468, 0.000, 0.500], [0.824, 0.500, 0.681], [0.824, 0.500, 0.319], [0.824, 0.819, 0.000], [0.824, 0.181, 0.000], [0.176, 0.681, 0.500], [0.176, 0.000, 0.819], [0.176, 0.000, 0.181], [0.176, 0.319, 0.500], [0.517, 0.686, 0.186], [0.517, 0.314, 0.814], [0.517, 0.314, 0.186], [0.517, 0.686, 0.814], [0.483, 0.186, 0.686], [0.483, 0.186, 0.314], [0.483, 0.814, 0.686], [0.483, 0.814, 0.314], [0.261, 0.500, 0.256], [0.261, 0.500, 0.744], [0.261, 0.244, 0.000], [0.261, 0.756, 0.000], [0.739, 0.256, 0.500], [0.739, 0.000, 0.244], [0.739, 0.000, 0.756], [0.739, 0.744, 0.500], [0.893, 0.500, 0.000], [0.107, 0.000, 0.500], [0.148, 0.500, 0.000], [0.852, 0.000, 0.500]]}

{"formula": "BaBiRh2", "functional": "PBE", "state": "optimized geometry", "delta_e_f_ev_per_atom": 0.1404, "space_group": "I-42d (122)", "lattice": [[-4.521, 0.981, -6.258], [-6.090, -2.785, 3.964], [-6.091, 2.351, -0.069]], "species": ["Rh", "Rh", "Rh", "Rh", "Bi", "Bi", "Ba", "Ba"], "fractional_positions": [[0.678, 0.125, 0.250], [0.072, 0.625, 0.250], [0.375, 0.322, 0.750], [0.875, 0.928, 0.750], [0.000, 0.000, 0.000], [0.750, 0.250, 0.500], [0.500, 0.500, 0.000], [0.250, 0.750, 0.500]]}

{"formula": "CaHg2Rh", "functional": "PBE", "state": "optimized geometry", "delta_e_f_ev_per_atom": -0.1946, "space_group": "Pm (6)", "lattice": [[-2.113, 0.874, -3.635], [-3.210, 0.064, 1.882], [-0.959, 5.630, 1.911]], "species": ["Ca", "Rh", "Hg", "Hg"], "fractional_positions": [[0.500, 0.716, 0.694], [0.000, 0.295, 0.540], [0.000, 0.047, 0.024], [0.500, 0.442, 0.242]]}

{"formula": "YZn12Pd4", "functional": "PBE", "state": "optimized geometry", "delta_e_f_ev_per_atom": -0.0258, "space_group": "Im-3 (204)", "lattice": [[-6.653, -3.510, 0.087], [5.513, -5.054, 0.806], [0.295, 4.955, 5.652]], "species": ["Y", "Zn", "Zn", "Zn", "Zn", "Zn", "Zn", "Zn", "Zn", "Zn", "Zn", "Zn", "Zn", "Pd", "Pd", "Pd", "Pd"], "fractional_positions": [[0.000, 0.000, 0.000], [0.850, 0.351, 0.201], [0.351, 0.501, 0.150], [0.799, 0.150, 0.649], [0.351, 0.201, 0.850], [0.201, 0.850, 0.351], [0.649, 0.499, 0.850], [0.501, 0.150, 0.351], [0.499, 0.850, 0.649], [0.649, 0.799, 0.150], [0.850, 0.649, 0.499], [0.150, 0.351, 0.501], [0.150, 0.649, 0.799], [0.000, 0.500, 0.000], [0.500, 0.000, 0.000], [0.500, 0.500, 0.500], [0.000, 0.000, 0.500]]}

{"formula": "Pr8Ho4Tm3", "functional": "PBE", "state": "optimized geometry", "delta_e_f_ev_per_atom": 0.3326, "space_group": "C2/m (12)", "lattice": [[6.900, -0.021, -0.029], [-3.209, 8.517, 1.522], [-3.209, -1.529, 8.516]], "species": ["Pr", "Pr", "Pr", "Pr", "Pr", "Pr", "Pr", "Pr", "Ho", "Ho", "Ho", "Ho", "Tm", "Tm", "Tm"], "fractional_positions": [[0.288, 0.244, 0.244], [0.000, 0.705, 0.295], [0.824, 0.296, 0.296], [0.500, 0.754, 0.246], [0.500, 0.246, 0.754], [0.176, 0.704, 0.704], [0.000, 0.295, 0.705], [0.712, 0.756, 0.756], [0.500, 0.000, 0.000], [0.000, 0.500, 0.000], [0.000, 0.000, 0.000], [0.000, 0.000, 0.500], [0.500, 0.500, 0.000], [0.500, 0.000, 0.500], [0.500, 0.500, 0.500]]}

{"formula": "BaYHf3", "functional": "PBE", "state": "optimized geometry", "e_above_lowest_polymorph_mev_per_atom": 0.0, "delta_e_f_ev_per_atom": 1.3068, "space_group": "Pm-3m (221)", "lattice": [[5.459, 0.000, 0.000], [0.000, 5.459, 0.000], [0.000, 0.000, 5.459]], "species": ["Y", "Hf", "Hf", "Hf", "Ba"], "fractional_positions": [[0.000, 0.000, 0.000], [0.000, 0.500, 0.000], [0.000, 0.000, 0.500], [0.500, 0.000, 0.000], [0.500, 0.500, 0.500]]}

{"formula": "BaMn2VB", "functional": "PBE", "state": "optimized geometry", "delta_e_f_ev_per_atom": 3.0591, "space_group": "P4/mmm (123)", "lattice": [[5.114, 0.000, 0.000], [0.000, 5.114, 0.000], [0.000, 0.000, 5.086]], "species": ["B", "Mn", "Mn", "Ba", "V"], "fractional_positions": [[0.500, 0.500, 0.500], [0.000, 0.500, 0.000], [0.500, 0.000, 0.000], [0.000, 0.000, 0.000], [0.000, 0.000, 0.500]]}

{"formula": "SmTl3F6", "functional": "PBE", "state": "optimized geometry", "energy_ev_per_atom": -4.993, "space_group": "P2_1/c (14)", "lattice": [[6.632, 0.000, 0.078], [0.000, 6.951, 0.000], [0.033, 0.000, 9.578]], "species": ["Sm", "Sm", "Tl", "Tl", "Tl", "Tl", "Tl", "Tl", "F", "F", "F", "F", "F", "F", "F", "F", "F", "F", "F", "F"], "fractional_positions": [[0.500, 0.500, 0.500], [0.000, 0.000, 0.000], [0.512, 0.960, 0.754], [0.500, 0.500, 0.000], [0.488, 0.040, 0.246], [0.012, 0.540, 0.254], [0.000, 0.000, 0.500], [0.988, 0.460, 0.746], [0.714, 0.163, 0.950], [0.655, 0.227, 0.570], [0.619, 0.446, 0.280], [0.381, 0.554, 0.720], [0.345, 0.773, 0.430], [0.286, 0.837, 0.050], [0.214, 0.337, 0.450], [0.155, 0.273, 0.070], [0.119, 0.054, 0.780], [0.881, 0.946, 0.220], [0.845, 0.727, 0.930], [0.786, 0.663, 0.550]]}

{"formula": "K2ZnOs2", "functional": "PBE", "state": "optimized geometry", "e_above_lowest_polymorph_mev_per_atom": 157.8, "delta_e_f_ev_per_atom": 0.9431, "space_group": "P4/mbm (127)", "lattice": [[6.415, 0.000, 0.000], [0.000, 6.415, 0.000], [0.000, 0.000, 5.681]], "species": ["Zn", "Zn", "Os", "Os", "Os", "Os", "K", "K", "K", "K"], "fractional_positions": [[0.000, 0.000, 0.000], [0.500, 0.500, 0.000], [0.373, 0.873, 0.000], [0.873, 0.627, 0.000], [0.627, 0.127, 0.000], [0.127, 0.373, 0.000], [0.179, 0.679, 0.500], [0.679, 0.821, 0.500], [0.821, 0.321, 0.500], [0.321, 0.179, 0.500]]}

{"formula": "La8HRh3I3", "functional": "PBE", "state": "optimized geometry", "energy_ev_per_atom": -5.426, "space_group": "C2/m (12)", "lattice": [[8.388, -0.001, 0.000], [-4.195, 7.252, -0.020], [0.001, -4.803, 8.118]], "species": ["La", "La", "La", "La", "La", "La", "La", "La", "H", "Rh", "Rh", "Rh", "I", "I", "I"], "fractional_positions": [[0.270, 0.539, 0.310], [0.730, 0.461, 0.690], [0.770, 0.541, 0.311], [0.230, 0.459, 0.689], [0.769, 0.041, 0.310], [0.231, 0.959, 0.690], [0.272, 0.041, 0.310], [0.728, 0.959, 0.690], [0.000, 0.000, 0.500], [0.500, 0.000, 0.500], [0.500, 0.500, 0.500], [0.000, 0.500, 0.500], [0.000, 0.000, 0.000], [0.000, 0.500, 0.000], [0.500, 0.500, 0.000]]}

{"formula": "MgCd3Hg4", "functional": "PBE", "state": "optimized geometry", "e_above_lowest_polymorph_mev_per_atom": 22.6, "delta_e_f_ev_per_atom": -0.0044, "space_group": "Cmmm (65)", "lattice": [[-4.822, 1.856, -0.593], [-1.910, -5.878, -2.866], [-0.369, 1.182, 6.699]], "species": ["Mg", "Cd", "Cd", "Cd", "Hg", "Hg", "Hg", "Hg"], "fractional_positions": [[0.500, 0.000, 0.000], [0.000, 0.000, 0.500], [0.500, 0.500, 0.500], [0.000, 0.500, 0.000], [0.000, 0.246, 0.246], [0.500, 0.759, 0.241], [0.000, 0.754, 0.754], [0.500, 0.241, 0.759]]}

{"formula": "Pm8TlGa2", "functional": "PBE", "state": "optimized geometry", "delta_e_f_ev_per_atom": -0.2610, "space_group": "C2/m (12)", "lattice": [[-2.064, 4.077, -1.938], [-2.141, -4.192, -6.537], [-5.252, -2.347, 7.010]], "species": ["Pm", "Pm", "Pm", "Pm", "Pm", "Pm", "Pm", "Pm", "Tl", "Ga", "Ga"], "fractional_positions": [[0.401, 0.546, 0.802], [0.677, 0.949, 0.354], [0.828, 0.741, 0.656], [0.949, 0.263, 0.899], [0.172, 0.259, 0.344], [0.323, 0.051, 0.646], [0.599, 0.454, 0.198], [0.051, 0.737, 0.101], [0.500, 0.000, 0.000], [0.787, 0.334, 0.574], [0.213, 0.666, 0.426]]}

{"formula": "SmTm15In4", "functional": "PBE", "state": "optimized geometry", "delta_e_f_ev_per_atom": -0.1940, "space_group": "P4/mmm (123)", "lattice": [[4.799, 0.000, 0.000], [0.000, 4.799, 0.000], [0.000, 0.000, 24.386]], "species": ["Sm", "Tm", "Tm", "Tm", "Tm", "Tm", "Tm", "Tm", "Tm", "Tm", "Tm", "Tm", "Tm", "Tm", "Tm", "Tm", "In", "In", "In", "In"], "fractional_positions": [[0.000, 0.000, 0.000], [0.500, 0.500, 0.000], [0.500, 0.500, 0.206], [0.500, 0.500, 0.402], [0.500, 0.500, 0.598], [0.500, 0.500, 0.794], [0.500, 0.000, 0.106], [0.500, 0.000, 0.304], [0.500, 0.000, 0.500], [0.500, 0.000, 0.696], [0.500, 0.000, 0.894], [0.000, 0.500, 0.106], [0.000, 0.500, 0.304], [0.000, 0.500, 0.500], [0.000, 0.500, 0.696], [0.000, 0.500, 0.894], [0.000, 0.000, 0.206], [0.000, 0.000, 0.402], [0.000, 0.000, 0.598], [0.000, 0.000, 0.794]]}

{"formula": "LiCd2Bi", "functional": "PBE", "state": "optimized geometry", "delta_e_f_ev_per_atom": -0.0573, "space_group": "I-42d (122)", "lattice": [[4.363, 0.000, 0.000], [0.000, 4.363, 0.000], [2.181, 2.181, 10.652]], "species": ["Li", "Li", "Bi", "Bi", "Cd", "Cd", "Cd", "Cd"], "fractional_positions": [[0.500, 0.500, 0.000], [0.250, 0.750, 0.500], [0.000, 0.000, 0.000], [0.750, 0.250, 0.500], [0.606, 0.125, 0.250], [0.144, 0.625, 0.250], [0.375, 0.394, 0.750], [0.875, 0.856, 0.750]]}

{"formula": "SrZn3Rh", "functional": "PBE", "state": "optimized geometry", "e_above_lowest_polymorph_mev_per_atom": 800.2, "delta_e_f_ev_per_atom": 0.4532, "space_group": "R3m (160)", "lattice": [[-4.439, 1.783, -2.044], [-2.099, -3.225, 3.501], [0.932, 3.988, 3.208]], "species": ["Sr", "Zn", "Zn", "Zn", "Rh"], "fractional_positions": [[0.396, 0.396, 0.396], [0.694, 0.043, 0.694], [0.043, 0.694, 0.694], [0.694, 0.694, 0.043], [0.047, 0.047, 0.047]]}

{"formula": "KNaLaCl5", "functional": "PBE", "state": "optimized geometry", "energy_ev_per_atom": -4.191, "space_group": "C2/c (15)", "lattice": [[-1.561, -3.230, -7.059], [7.772, 1.036, 1.106], [-1.914, -7.917, 6.324]], "species": ["K", "K", "Na", "Na", "La", "La", "Cl", "Cl", "Cl", "Cl", "Cl", "Cl", "Cl", "Cl", "Cl", "Cl"], "fractional_positions": [[0.357, 0.643, 0.250], [0.643, 0.357, 0.750], [0.685, 0.315, 0.250], [0.315, 0.685, 0.750], [0.000, 0.000, 0.500], [0.000, 0.000, 0.000], [0.093, 0.907, 0.250], [0.907, 0.093, 0.750], [0.943, 0.313, 0.119], [0.057, 0.687, 0.881], [0.687, 0.057, 0.381], [0.313, 0.943, 0.619], [0.738, 0.625, 0.445], [0.262, 0.375, 0.555], [0.375, 0.262, 0.055], [0.625, 0.738, 0.945]]}

no.,total moment (μB/f.u.)
1,0.00
2,0.00
3,18.64
4,0.00
5,0.00
6,0.00
7,0.00
8,0.00
9,10.04
10,0.00
11,0.00
12,0.00
13,0.00
14,0.00
15,0.01
16,0.00
17,0.00
18,0.00